# 1
Below is an optimized crystal structure of Li2TbUTe4, with properties calculated at the PBE-GGA level.

extended XYZ file:
```
8
Lattice="4.336 0.000 0.000 0.000 7.524 0.129 0.000 -2.630 7.058" Properties=species:S:1:pos:R:3 pbc="T T T"
Li 2.168 -1.315 3.529
Li 0.000 2.447 3.594
Tb 2.168 3.762 0.065
Te 0.000 -0.080 5.267
Te 2.168 3.658 5.323
Te 2.168 1.236 1.865
Te 0.000 4.975 1.921
U 0.000 0.000 0.000
```

Summary:
Symmetry = P2/m, No. 10
ΔE_f (raw) = -1.01 eV/atom



# 2
Below is an optimized crystal structure of Li3Tb2YTe6, with properties calculated at the PBE-GGA level.

extended XYZ file:
```
12
Lattice="7.540 -0.001 0.000 -3.769 6.530 0.000 -1.258 -2.178 7.064" Properties=species:S:1:pos:R:3 pbc="T T T"
Te 0.005 4.352 5.255
Te -0.003 -0.006 5.255
Te -1.254 2.172 1.809
Te 3.767 2.180 5.255
Te 2.508 -0.001 1.809
Te 2.516 4.357 1.809
Li 5.026 -0.001 3.532
Li -2.513 4.353 3.532
Li 1.257 2.176 3.532
Tb 3.770 2.176 0.000
Tb 0.001 4.353 0.000
Y 0.000 0.000 0.000
```

Summary:
Symmetry = C2/m, No. 12
ΔE_f (raw) = -1.30 eV/atom



# 3
Below is an optimized crystal structure of Li4TbY3Te8, with properties calculated at the PBE-GGA level.

extended XYZ file:
```
16
Lattice="8.694 0.000 0.000 0.000 8.673 -0.026 -4.347 -4.344 6.148" Properties=species:S:1:pos:R:3 pbc="T T T"
Te 4.347 -0.034 3.038
Te 2.169 -2.210 6.118
Te 0.000 -0.035 3.043
Te -2.169 -2.210 6.118
Te 6.517 6.539 0.004
Te 0.000 4.362 3.084
Te 4.347 4.364 3.079
Te 2.178 6.539 0.004
Li 4.347 0.000 0.000
Li 2.174 -2.172 3.074
Li 0.000 0.000 0.000
Li -2.174 -2.172 3.074
Y -2.174 2.164 3.061
Y 2.174 2.164 3.061
Y 4.347 4.336 -0.013
Tb 0.000 4.336 -0.013
```

Summary:
Symmetry = R-3m, No. 166
ΔE_f (raw) = -1.30 eV/atom



> Which formula does entry 1 have?

Li2TbUTe4



> Look up the ΔE_f (raw) of the first one.

-1.01 eV/atom



> What is the ΔE_f (raw) in the first record?

-1.01 eV/atom